[1]
Below is SmPuCuO6 after structural relaxation, with properties calculated at the PBE-GGA level.

Cell: 5.288 5.288 10.308 Å, 90.00 90.00 120.00°
Last column: magnetic moment on the atom in μB.
Positions (direct):
Pu1 0.333 0.667 0.750  -1.36
Pu2 0.667 0.333 0.250  -1.36
O1 0.990 0.348 0.139  -0.02
O2 0.990 0.641 0.361  -0.02
O3 0.652 0.641 0.139  -0.02
O4 0.010 0.359 0.639  -0.02
O5 0.348 0.990 0.639  -0.02
O6 0.359 0.010 0.139  -0.02
O7 0.652 0.010 0.361  -0.02
O8 0.641 0.652 0.639  -0.02
O9 0.359 0.348 0.361  -0.02
O10 0.348 0.359 0.861  -0.02
O11 0.641 0.990 0.861  -0.02
O12 0.010 0.652 0.861  -0.02
Cu1 0.667 0.333 0.750  -0.51
Cu2 0.333 0.667 0.250  -0.51
Sm1 0.000 0.000 0.500  0.01
Sm2 0.000 0.000 0.000  0.01

Values from the calculation:
Total magnetic moment: 2.0 μB/f.u.
Calculated volume: 13.87 Å³ per atom
ΔE_f (raw): -2.189 eV per atom

=====

[2]
Below is BeTeRu after structural relaxation, with properties calculated at the PBE-GGA level.

Cell: 3.968 3.968 3.537 Å, 90.00 90.00 120.00°
Positions (direct):
Be1 0.000 0.000 0.167
Te1 0.667 0.333 0.667
Ru1 0.333 0.667 0.167

Values from the calculation:
Total magnetic moment: 0.0 μB/f.u.
Calculated volume: 16.08 Å³ per atom
ΔE_f (raw): 0.287 eV per atom
Offset from the most stable computed form: 0.081 eV per atom

=====

[3]
Below is Pm2SmHo3Tm6 after structural relaxation, with properties calculated at the PBE-GGA level.

Cell: 6.128 6.128 11.663 Å, 95.02 95.02 119.95°
Positions (direct):
Sm1 0.000 0.000 0.000
Tm1 0.915 0.582 0.747
Tm2 0.582 0.915 0.747
Tm3 0.085 0.418 0.253
Tm4 0.249 0.249 0.747
Tm5 0.751 0.751 0.253
Tm6 0.418 0.085 0.253
Pm1 0.667 0.333 0.000
Pm2 0.333 0.667 0.000
Ho1 0.500 0.500 0.500
Ho2 0.833 0.167 0.500
Ho3 0.167 0.833 0.500

Values from the calculation:
Total magnetic moment: 0.0 μB/f.u.
Calculated volume: 31.14 Å³ per atom
Formation energy: 0.023 eV per atom

=====

no.,E (eV/atom)
1,-8.0664
2,-5.0939
3,-4.5427